The following is a DFT calculation (PBE) of LaCuRh after structural relaxation.

Cell lengths 4.322, 4.322, 3.954 Å; angles 90.00, 90.00, 120.00 degrees
Atoms (fractional coordinates):
1 La 0.000 0.000 0.000
2 Cu 0.333 0.667 0.500
3 Rh 0.667 0.333 0.500

Calculated values
Final energy   -17.70 eV per formula unit
Energy relative to the lowest polymorph listed for this composition   0.061 eV per atom
Formation enthalpy at 0 K   -0.440 eV/atom